# CoC2O

A relaxed CoC2O crystal (PBE+U, Alexandria).

Cell: 4.280 4.280 4.889 Å, 64.05 64.05 90.00°
Last column: magnetic moment on the atom in μB.
Element x y z (fractional)
C: 0.620 0.125 0.250  0.01
C: 0.130 0.625 0.250  0.01
C: 0.375 0.380 0.750  0.01
C: 0.875 0.870 0.750  0.01
Co: 0.000 0.000 0.000  0.35
Co: 0.750 0.250 0.500  0.35
O: 0.500 0.500 0.000  0.04
O: 0.250 0.750 0.500  0.04

Final energy, eV for the cell shown: -44.923
SG: I-42d, No. 122